Record 1
# LaGaC2 (GGA-PBE, optimized geometry)
# Fermi-level density of states (states/eV/atom): 0.354
# E (eV per atom): -5.91
# Density (g cm⁻³): 5.94
# ΔH_f (0 K) (eV/atom): 0.69
data_LaGaC2
_chemical_formula_sum 'La2 Ga2 C4'
_space_group_name_H-M_alt 'P 1'
_space_group_IT_number 1
_space_group_name_Hall 'P 1'
_cell_length_a 4.565
_cell_length_b 4.565
_cell_length_c 7.030
_cell_angle_alpha 71.05
_cell_angle_beta 71.05
_cell_angle_gamma 90.00
loop_
_atom_site_label
_atom_site_type_symbol
_atom_site_fract_x
_atom_site_fract_y
_atom_site_fract_z
Ga1 Ga 0.250 0.750 0.500
Ga2 Ga 0.500 0.500 0.000
La1 La 0.000 0.000 0.000
La2 La 0.750 0.250 0.500
C1 C 0.875 0.717 0.750
C2 C 0.467 0.125 0.250
C3 C 0.375 0.533 0.750
C4 C 0.283 0.625 0.250

***

Record 2
# SrCa2In4 (GGA-PBE, optimized geometry)
# Fermi-level density of states (states/eV/atom): 0.357
# E (eV per atom): -2.81
# Density (g cm⁻³): 4.93
# ΔH_f (0 K) (eV/atom): -0.43
data_SrCa2In4
_chemical_formula_sum 'Sr1 Ca2 In4'
_space_group_name_H-M_alt 'P 1'
_space_group_IT_number 1
_space_group_name_Hall 'P 1'
_cell_length_a 5.006
_cell_length_b 3.954
_cell_length_c 11.135
_cell_angle_alpha 100.23
_cell_angle_beta 102.99
_cell_angle_gamma 90.00
loop_
_atom_site_label
_atom_site_type_symbol
_atom_site_fract_x
_atom_site_fract_y
_atom_site_fract_z
Ca1 Ca 0.805 0.805 0.610
Ca2 Ca 0.195 0.195 0.390
In1 In 0.351 0.351 0.702
In2 In 0.070 0.570 0.140
In3 In 0.649 0.649 0.298
In4 In 0.930 0.430 0.860
Sr1 Sr 0.500 0.000 0.000

***

Record 3
# K2AlOs (GGA-PBE, optimized geometry)
# Fermi-level density of states (states/eV/atom): 0.385
# E (eV per atom): -3.89
# Density (g cm⁻³): 3.94
# ΔH_f (0 K) (eV/atom): 0.40
data_K2AlOs
_chemical_formula_sum 'K2 Al1 Os1'
_space_group_name_H-M_alt 'P 1'
_space_group_IT_number 1
_space_group_name_Hall 'P 1'
_cell_length_a 10.450
_cell_length_b 10.450
_cell_length_c 3.950
_cell_angle_alpha 78.88
_cell_angle_beta 78.88
_cell_angle_gamma 17.11
loop_
_atom_site_label
_atom_site_type_symbol
_atom_site_fract_x
_atom_site_fract_y
_atom_site_fract_z
K1 K 0.396 0.396 0.605
K2 K 0.104 0.104 0.895
Os1 Os 0.750 0.750 0.750
Al1 Al 0.250 0.250 0.250

***

Record 4
# Ca6TlPd3 (GGA-PBE, optimized geometry)
# Fermi-level density of states (states/eV/atom): 0.384
# E (eV per atom): -3.48
# Density (g cm⁻³): 4.36
# ΔH_f (0 K) (eV/atom): -0.48
data_Ca6TlPd3
_chemical_formula_sum 'Ca12 Tl2 Pd6'
_space_group_name_H-M_alt 'P 1'
_space_group_IT_number 1
_space_group_name_Hall 'P 1'
_cell_length_a 4.277
_cell_length_b 11.047
_cell_length_c 13.124
_cell_angle_alpha 110.18
_cell_angle_beta 90.00
_cell_angle_gamma 90.00
loop_
_atom_site_label
_atom_site_type_symbol
_atom_site_fract_x
_atom_site_fract_y
_atom_site_fract_z
Pd1 Pd 0.250 0.908 0.968
Pd2 Pd 0.250 0.634 0.156
Pd3 Pd 0.750 0.690 0.528
Pd4 Pd 0.750 0.366 0.844
Pd5 Pd 0.250 0.310 0.472
Pd6 Pd 0.750 0.092 0.032
Ca1 Ca 0.750 0.424 0.087
Ca2 Ca 0.750 0.123 0.443
Ca3 Ca 0.750 0.840 0.092
Ca4 Ca 0.250 0.515 0.388
Ca5 Ca 0.750 0.726 0.316
Ca6 Ca 0.750 0.839 0.804
Ca7 Ca 0.250 0.161 0.196
Ca8 Ca 0.250 0.274 0.684
Ca9 Ca 0.250 0.877 0.557
Ca10 Ca 0.250 0.576 0.913
Ca11 Ca 0.750 0.485 0.612
Ca12 Ca 0.250 0.160 0.908
Tl1 Tl 0.750 0.077 0.705
Tl2 Tl 0.250 0.923 0.295

***

Record 5
# NiW (GGA-PBE, optimized geometry)
# Fermi-level density of states (states/eV/atom): 1.525
# E (eV per atom): -8.11
# Density (g cm⁻³): 11.39
# ΔH_f (0 K) (eV/atom): 1.26
data_NiW
_chemical_formula_sum 'Ni2 W2'
_space_group_name_H-M_alt 'P 1'
_space_group_IT_number 1
_space_group_name_Hall 'P 1'
_cell_length_a 4.111
_cell_length_b 4.111
_cell_length_c 4.833
_cell_angle_alpha 90.00
_cell_angle_beta 90.00
_cell_angle_gamma 120.00
loop_
_atom_site_label
_atom_site_type_symbol
_atom_site_fract_x
_atom_site_fract_y
_atom_site_fract_z
Ni1 Ni 0.333 0.667 0.250
Ni2 Ni 0.667 0.333 0.750
W1 W 0.667 0.333 0.250
W2 W 0.333 0.667 0.750

***

Record 6
# Ba2TbPuS6 (GGA-PBE, optimized geometry)
# Fermi-level density of states (states/eV/atom): 0.942
# E (eV per atom): -6.53
# Density (g cm⁻³): 5.19
# Formation energy from raw total energies (eV per atom): -1.777
data_Ba2TbPuS6
_chemical_formula_sum 'Ba4 Tb2 Pu2 S12'
_space_group_name_H-M_alt 'P 1'
_space_group_IT_number 1
_space_group_name_Hall 'P 1'
_cell_length_a 7.210
_cell_length_b 7.467
_cell_length_c 10.346
_cell_angle_alpha 90.00
_cell_angle_beta 90.05
_cell_angle_gamma 90.00
loop_
_atom_site_label
_atom_site_type_symbol
_atom_site_fract_x
_atom_site_fract_y
_atom_site_fract_z
Ba1 Ba 0.016 0.940 0.251
Ba2 Ba 0.984 0.060 0.749
Ba3 Ba 0.516 0.560 0.751
Ba4 Ba 0.484 0.440 0.249
S1 S 0.418 0.981 0.744
S2 S 0.790 0.800 0.543
S3 S 0.710 0.300 0.957
S4 S 0.918 0.519 0.244
S5 S 0.698 0.289 0.544
S6 S 0.082 0.481 0.756
S7 S 0.290 0.700 0.043
S8 S 0.802 0.789 0.956
S9 S 0.582 0.019 0.256
S10 S 0.302 0.711 0.456
S11 S 0.210 0.200 0.457
S12 S 0.198 0.211 0.044
Tb1 Tb 0.000 0.500 0.500
Tb2 Tb 0.500 0.000 0.000
Pu1 Pu 0.000 0.500 0.000
Pu2 Pu 0.500 0.000 0.500

***

Record 7
# Li4TmZn (GGA-PBE, optimized geometry)
# Fermi-level density of states (states/eV/atom): 1.014
# E (eV per atom): -2.20
# Density (g cm⁻³): 3.99
# ΔH_f (0 K) (eV/atom): 0.03
data_Li4TmZn
_chemical_formula_sum 'Li4 Tm1 Zn1'
_space_group_name_H-M_alt 'P 1'
_space_group_IT_number 1
_space_group_name_Hall 'P 1'
_cell_length_a 5.363
_cell_length_b 5.363
_cell_length_c 5.363
_cell_angle_alpha 60.00
_cell_angle_beta 60.00
_cell_angle_gamma 60.00
loop_
_atom_site_label
_atom_site_type_symbol
_atom_site_fract_x
_atom_site_fract_y
_atom_site_fract_z
Tm1 Tm 0.250 0.250 0.250
Li1 Li 0.627 0.627 0.627
Li2 Li 0.627 0.627 0.119
Li3 Li 0.119 0.627 0.627
Li4 Li 0.627 0.119 0.627
Zn1 Zn 0.000 0.000 0.000

***

Record 8
# Ca4CdSn2 (GGA-PBE, optimized geometry)
# Fermi-level density of states (states/eV/atom): 0.097
# E (eV per atom): -3.00
# Density (g cm⁻³): 3.82
# ΔH_f (0 K) (eV/atom): -0.58
data_Ca4CdSn2
_chemical_formula_sum 'Ca4 Cd1 Sn2'
_space_group_name_H-M_alt 'P 1'
_space_group_IT_number 1
_space_group_name_Hall 'P 1'
_cell_length_a 5.400
_cell_length_b 5.400
_cell_length_c 9.308
_cell_angle_alpha 73.14
_cell_angle_beta 73.14
_cell_angle_gamma 60.00
loop_
_atom_site_label
_atom_site_type_symbol
_atom_site_fract_x
_atom_site_fract_y
_atom_site_fract_z
Cd1 Cd 0.000 0.000 0.000
Ca1 Ca 0.376 0.376 0.871
Ca2 Ca 0.126 0.126 0.623
Ca3 Ca 0.624 0.624 0.129
Ca4 Ca 0.874 0.874 0.377
Sn1 Sn 0.751 0.751 0.747
Sn2 Sn 0.249 0.249 0.253